A plane-wave DFT calculation with PBE was carried out for a relaxed structure of Pm2SmHg.

Structure (extended XYZ):
```
4
Lattice="-1.637 0.796 -3.073 -1.330 -2.610 -2.044 -11.686 0.216 4.208" Properties=species:S:1:pos:R:3 pbc="T T T"
Pm -5.787 -1.597 -3.557
Pm -8.866 -0.001 2.649
Sm -7.327 -0.799 -0.454
Hg 0.000 0.000 0.000
```

Results
Distance to the lowest polymorph of the same formula: 321 meV/atom
Space group: R-3m, No. 166
Magnetization: 0.0 μB/cell

=====

A plane-wave DFT calculation with PBE was carried out for a relaxed structure of Pm3Sm2Hg3.

Structure (extended XYZ):
```
8
Lattice="-3.386 1.740 0.188 -0.955 -1.294 -5.217 -2.604 -9.868 5.780" Properties=species:S:1:pos:R:3 pbc="T T T"
Pm -1.693 0.870 0.094
Pm -3.324 -2.107 -1.725
Pm -3.621 -7.314 2.476
Hg -5.810 -7.128 -0.025
Hg -0.477 -0.647 -2.609
Hg -1.135 -2.293 0.776
Sm -3.028 -5.799 -0.864
Sm -3.917 -3.622 1.615
```

Results
Space group: Immm, No. 71
Magnetization: 0.0 μB/cell

=====

A plane-wave DFT calculation with PBE was carried out for a relaxed structure of Pm2Sm2Hg7.

Structure (extended XYZ):
```
11
Lattice="-4.444 -5.219 1.183 2.452 -3.437 -5.952 5.617 -2.098 3.526" Properties=species:S:1:pos:R:3 pbc="T T T"
Hg 1.300 -4.655 0.628
Hg -0.918 -7.269 1.212
Hg -1.505 -3.610 -1.143
Hg 5.130 -7.144 -0.101
Hg 4.543 -3.485 -2.455
Hg 0.000 0.000 0.000
Hg 2.325 -6.099 -1.871
Sm 2.169 -7.598 0.808
Sm 1.456 -3.156 -2.051
Pm 2.646 -3.020 2.834
Pm 0.979 -7.734 -4.077
```

Results
Space group: Cmmm, No. 65
Magnetization: 0.0 μB/cell

=====

A plane-wave DFT calculation with PBE was carried out for a relaxed structure of Pm2SmHg.

Structure (extended XYZ):
```
4
Lattice="4.909 0.000 0.000 0.000 4.908 0.000 0.000 0.000 4.908" Properties=species:S:1:pos:R:3 pbc="T T T"
Sm 2.455 0.000 0.000
Hg 2.455 2.454 2.454
Pm 0.000 2.454 0.000
Pm 0.000 0.000 2.454
```

Results
Distance to the lowest polymorph of the same formula: 57 meV/atom
Space group: P4/mmm, No. 123
Magnetization: 0.0 μB/cell

=====

A plane-wave DFT calculation with PBE was carried out for a relaxed structure of Pm3Sm5Hg2.

Structure (extended XYZ):
```
20
Lattice="-1.336 4.793 -4.682 -2.623 -4.677 -9.023 -10.113 2.724 0.690" Properties=species:S:1:pos:R:3 pbc="T T T"
Sm -6.692 -0.490 -8.561
Sm -6.702 0.222 -5.337
Sm -7.370 2.618 -7.678
Sm -4.036 -1.710 -5.584
Sm -10.037 4.551 -7.431
Sm -9.365 -1.354 -6.190
Sm -4.707 4.194 -6.825
Sm -10.033 1.043 -8.531
Sm -7.381 3.331 -4.453
Sm -4.039 1.798 -4.484
Hg -12.133 -0.100 -6.609
Hg -3.165 2.414 -1.610
Hg -1.940 2.940 -6.406
Hg -10.908 0.426 -11.405
Pm -3.263 0.400 -8.629
Pm -0.334 1.198 -1.170
Pm -7.359 0.768 -12.068
Pm -10.810 2.441 -4.386
Pm -6.713 2.073 -0.947
Pm -1.002 3.594 -3.511
```

Results
Space group: Ibam, No. 72
Magnetization: 0.0 μB/cell

=====

A plane-wave DFT calculation with PBE was carried out for a relaxed structure of PmSm2Hg.

Structure (extended XYZ):
```
4
Lattice="3.705 0.000 0.000 0.000 3.705 0.000 0.000 0.000 8.960" Properties=species:S:1:pos:R:3 pbc="T T T"
Sm 0.000 0.000 6.987
Sm 0.000 0.000 1.973
Hg 1.852 1.852 0.000
Pm 1.852 1.852 4.480
```

Results
Distance to the lowest polymorph of the same formula: 0 meV/atom
Space group: P4/mmm, No. 123
Magnetization: 0.0 μB/cell

=====

A plane-wave DFT calculation with PBE was carried out for a relaxed structure of PmSm2Hg.

Structure (extended XYZ):
```
4
Lattice="5.509 0.000 0.000 2.755 4.771 0.000 2.755 1.590 4.498" Properties=species:S:1:pos:R:3 pbc="T T T"
Hg 5.509 3.181 2.249
Sm 2.755 1.590 1.125
Sm 8.264 4.771 3.374
Pm 0.000 0.000 0.000
```

Results
Distance to the lowest polymorph of the same formula: 176 meV/atom
Space group: Fm-3m, No. 225
Magnetization: 0.0 μB/cell

=====

A plane-wave DFT calculation with PBE was carried out for a relaxed structure of PmSm3Hg5.

Structure (extended XYZ):
```
18
Lattice="6.610 0.000 0.000 0.000 8.034 -4.639 0.000 0.000 9.277" Properties=species:S:1:pos:R:3 pbc="T T T"
Pm 0.000 0.000 0.000
Pm 3.305 0.000 0.000
Hg 3.305 5.356 0.000
Hg 1.652 2.411 1.392
Hg 0.000 2.678 4.639
Hg 4.957 8.034 -1.854
Hg 1.652 0.000 6.493
Hg 4.957 2.411 -1.392
Hg 3.305 2.678 4.639
Hg 0.000 5.356 0.000
Hg 4.957 5.623 3.247
Hg 1.652 5.623 -3.247
Sm 4.957 8.034 1.200
Sm 4.957 2.978 1.720
Sm 1.652 0.000 3.439
Sm 1.652 5.056 2.919
Sm 1.652 2.978 -1.720
Sm 4.957 5.056 -2.919
```

Results
Space group: P6_3/mcm, No. 193
Magnetization: 0.0 μB/cell

=====

A plane-wave DFT calculation with PBE was carried out for a relaxed structure of Pm2Sm2Hg.

Structure (extended XYZ):
```
10
Lattice="8.493 0.000 0.661 4.247 4.775 0.331 4.318 0.000 8.079" Properties=species:S:1:pos:R:3 pbc="T T T"
Hg 8.493 1.551 0.661
Hg 4.247 3.224 0.331
Pm 6.158 2.986 6.055
Pm 6.653 2.986 2.686
Pm 10.900 1.789 3.016
Pm 10.405 1.789 6.386
Sm 4.762 0.000 4.817
Sm 7.178 0.000 7.412
Sm 8.049 0.000 3.924
Sm 5.634 0.000 1.329
```

Results
Distance to the lowest polymorph of the same formula: 91 meV/atom
Space group: C2/m, No. 12
Magnetization: 0.0 μB/cell

=====

A plane-wave DFT calculation with PBE was carried out for a relaxed structure of PmSmHg6.

Structure (extended XYZ):
```
8
Lattice="5.051 0.000 0.000 0.000 6.740 -0.190 0.000 -3.155 5.959" Properties=species:S:1:pos:R:3 pbc="T T T"
Hg 2.526 2.567 0.459
Hg 0.000 1.067 5.398
Hg 0.000 2.620 2.370
Hg 2.526 5.919 0.320
Hg 2.526 4.310 3.263
Hg 0.000 -0.783 2.421
Sm 0.000 -2.291 5.422
Pm 2.526 0.928 3.421
```

Results
Space group: Amm2, No. 38
Magnetization: 0.0 μB/cell

=====

A plane-wave DFT calculation with PBE was carried out for a relaxed structure of Pm2Sm8Hg.

Structure (extended XYZ):
```
11
Lattice="-0.712 -1.305 -5.349 -3.702 -6.694 2.126 -5.347 7.368 1.795" Properties=species:S:1:pos:R:3 pbc="T T T"
Pm -5.179 1.255 -2.498
Pm -4.582 -1.885 1.070
Sm -2.902 0.883 0.171
Sm -6.745 4.286 -3.029
Sm -3.017 -4.916 1.601
Sm -4.113 4.005 -0.430
Sm -6.666 1.525 0.515
Sm -5.648 -4.635 -0.998
Sm -3.095 -2.156 -1.943
Sm -6.859 -1.514 -1.599
Hg -0.356 -0.653 -2.674
```

Results
Space group: C2/m, No. 12
Magnetization: 0.0 μB/cell

=====

A plane-wave DFT calculation with PBE was carried out for a relaxed structure of PmSm7Hg2.

Structure (extended XYZ):
```
10
Lattice="5.389 0.000 0.000 0.000 9.053 -0.222 0.000 -4.193 8.027" Properties=species:S:1:pos:R:3 pbc="T T T"
Sm 2.695 5.568 5.387
Sm 2.695 2.430 3.903
Sm 2.695 -0.708 2.418
Sm 2.695 2.482 0.432
Sm 0.000 -1.096 6.098
Sm 0.000 5.956 1.707
Sm 2.695 2.378 7.373
Hg 2.695 5.002 2.301
Hg 2.695 -0.141 5.504
Pm 0.000 0.000 0.000
```

Results
Space group: Cmmm, No. 65
Magnetization: 0.0 μB/cell

=====

| no. | E (hartree per atom) | ΔH_f (0 K) (eV/atom) |
| --- | --- | --- |
| 1 | -0.1300 | 0.094 |
| 2 | -0.1260 | -0.354 |
| 3 | -0.0744 | -0.109 |
| 4 | -0.1396 | -0.169 |
| 5 | -0.1398 | 0.040 |
| 6 | -0.1415 | -0.228 |
| 7 | -0.1351 | -0.052 |
| 8 | -0.0984 | -0.408 |
| 9 | -0.1447 | -0.088 |
| 10 | -0.0659 | -0.383 |
| 11 | -0.1581 | 0.020 |
| 12 | -0.1312 | 0.269 |